1.
# BaAgOsRh2

A relaxed BaAgOsRh2 crystal (GGA-PBE, the Alexandria database).

Results
The total DFT energy (no corrections) is -25.99 eV per formula unit. The value obtained for the magnetic moment is 0.0 μB/cell. Its space group is P4/mmm (123). Its crystal system is tetragonal.

a = 4.755 Å, b = 5.956 Å, c = 4.755 Å
α = 90.00°, β = 90.00°, γ = 90.00°
Positions (direct):
Rh  0.000  0.000  0.500
Rh  0.500  0.000  0.000
Os  0.000  0.000  0.000
Ba  0.000  0.500  0.000
Ag  0.500  0.500  0.500

=====

2.
# BaZrAgOs2

A relaxed BaZrAgOs2 crystal (GGA-PBE, the Alexandria database).

Results
The total DFT energy (no corrections) is -25.18 eV per formula unit. The value obtained for the magnetic moment is 0.7 μB/cell. Its space group is P4/mmm (123). Its crystal system is tetragonal.

a = 5.016 Å, b = 5.294 Å, c = 5.016 Å
α = 90.00°, β = 90.00°, γ = 90.00°
Positions (direct):
Zr  0.500  0.500  0.500
Os  0.000  0.000  0.500
Os  0.500  0.000  0.000
Ba  0.000  0.500  0.000
Ag  0.000  0.000  0.000

=====

3.
# Ba6AgP2

A relaxed Ba6AgP2 crystal (GGA-PBE, the Alexandria database).

Results
The total DFT energy (no corrections) is -30.36 eV per formula unit. The value obtained for the magnetic moment is 0.0 μB/cell. Its space group is P-31m (162). Its crystal system is trigonal.

a = 7.909 Å, b = 8.038 Å, c = 8.038 Å
α = 120.00°, β = 90.00°, γ = 90.00°
Positions (direct):
Ba  0.729  0.656  0.656
Ba  0.271  0.656  0.000
Ba  0.271  0.000  0.656
Ba  0.729  0.344  0.000
Ba  0.271  0.344  0.344
Ba  0.729  0.000  0.344
Ag  0.000  0.000  0.000
P  0.500  0.667  0.333
P  0.500  0.333  0.667

=====

4.
# Ba2Ag2P

A relaxed Ba2Ag2P crystal (GGA-PBE, the Alexandria database).

Results
The total DFT energy (no corrections) is -16.21 eV per formula unit. The value obtained for the magnetic moment is 0.0 μB/cell. Its space group is P4/mbm (127). Its crystal system is tetragonal. The value obtained for the excess energy over the best structure of this formula in the dataset is 210 meV per atom.

a = 7.907 Å, b = 7.907 Å, c = 4.749 Å
α = 90.00°, β = 90.00°, γ = 90.00°
Positions (direct):
P  0.000  0.000  0.000
P  0.500  0.500  0.000
Ba  0.189  0.689  0.500
Ba  0.689  0.811  0.500
Ba  0.811  0.311  0.500
Ba  0.311  0.189  0.500
Ag  0.379  0.879  0.000
Ag  0.879  0.621  0.000
Ag  0.621  0.121  0.000
Ag  0.121  0.379  0.000

=====

5.
# Ba6Ag2P

A relaxed Ba6Ag2P crystal (GGA-PBE, the Alexandria database).

Results
The total DFT energy (no corrections) is -25.89 eV per formula unit. The value obtained for the magnetic moment is 0.0 μB/cell. Its space group is P2_1/c (14). Its crystal system is monoclinic.

a = 7.997 Å, b = 8.970 Å, c = 11.918 Å
α = 90.00°, β = 89.95°, γ = 90.00°
Positions (direct):
Ba  0.144  0.044  0.257
Ba  0.163  0.310  0.564
Ba  0.178  0.326  0.929
Ba  0.322  0.826  0.571
Ba  0.337  0.810  0.936
Ba  0.356  0.544  0.243
Ba  0.856  0.956  0.743
Ba  0.837  0.690  0.436
Ba  0.822  0.674  0.071
Ba  0.678  0.174  0.429
Ba  0.663  0.190  0.064
Ba  0.644  0.456  0.757
Ag  0.050  0.610  0.748
Ag  0.450  0.110  0.752
Ag  0.550  0.890  0.248
Ag  0.950  0.390  0.252
P  0.500  0.500  0.000
P  0.000  0.000  0.500

=====

6.
# Ba4AgP2

A relaxed Ba4AgP2 crystal (GGA-PBE, the Alexandria database).

Results
The total DFT energy (no corrections) is -23.53 eV per formula unit. The value obtained for the magnetic moment is 0.0 μB/cell. Its space group is I4/mmm (139). Its crystal system is tetragonal.

a = 5.856 Å, b = 5.856 Å, c = 9.531 Å
α = 72.11°, β = 72.11°, γ = 90.00°
Positions (direct):
P  0.625  0.625  0.749
P  0.375  0.375  0.251
Ba  0.803  0.803  0.394
Ba  0.197  0.197  0.606
Ba  0.000  0.500  0.000
Ba  0.500  0.000  0.000
Ag  0.000  0.000  0.000